Entry 1:
The following is a DFT calculation (PBE-GGA) of a relaxed structure of Y2CrCoW.

Geometry as POSCAR:
```
Y2CrCoW
1.0
-4.3429 2.7329 -0.7423
-2.2250 -3.2540 1.0376
0.1031 1.5107 4.9586
W Co Cr Y
1 1 1 2
Direct
0.5000 0.5000 0.5000
0.0000 0.0000 0.0000
0.0000 0.5000 0.0000
0.5000 0.0000 0.0000
0.0000 0.0000 0.5000
```

Properties
The density of states at the Fermi level is 8.0 states/eV per cell. As for the total magnetic moment: 2.9 μB/f.u. The value obtained for the energy of formation from the pure elements is 486.9 kJ/mol of formula units. For the mass density, the calculation gives 7.162 Mg/m³.

=====

Entry 2:
The following is a DFT calculation (PBE-GGA) of a relaxed structure of ZnCrCoW.

Geometry as POSCAR:
```
ZnCrCoW
1.0
4.1915 0.0000 0.0000
2.0958 3.6299 0.0000
2.0958 1.2100 3.4223
Cr Co Zn W
1 1 1 1
Direct
0.5000 0.5000 0.5000
0.0000 0.0000 0.0000
0.7500 0.7500 0.7500
0.2500 0.2500 0.2500
```

Properties
The density of states at the Fermi level is 4.4 states/eV per cell. As for the total magnetic moment: 0.9 μB/f.u. The value obtained for the energy of formation from the pure elements is 74.3 kJ/mol of formula units. For the mass density, the calculation gives 11.486 Mg/m³.